Density functional theory data (PBE-GGA) for a relaxed Tl2CuBiF6 crystal.

Properties
Mass density in g/cm3: 7.2
Uncorrected formation energy in eV per atom: -1.845

Cell lengths 6.2199, 9.2487, 6.3642 Å; angles 90.00, 90.00, 90.00 degrees
Closest atoms and distances in Å follow each position.
Sites, in units of the cell vectors:
Tl 0.2500 0.0070 0.2222  5 F 2.79-3.12
Tl 0.2500 0.4930 0.2222  5 F 2.79-3.12
Tl 0.7500 0.5070 0.7778  5 F 2.79-3.12
Tl 0.7500 0.9930 0.7778  5 F 2.79-3.12
Cu 0.2500 0.7500 0.7611  6 F 2.12-2.36
Cu 0.7500 0.2500 0.2389  6 F 2.12-2.36
Bi 0.2500 0.2500 0.7315  6 F 2.29-2.31
Bi 0.7500 0.7500 0.2685  6 F 2.29-2.31
F 0.0064 0.7500 0.5281  1 Cu 2.12, 1 Bi 2.30
F 0.0072 0.7500 0.0071  1 Cu 2.18, 1 Bi 2.31
F 0.2500 0.0048 0.7842  1 Bi 2.29, 1 Cu 2.36
F 0.2500 0.4952 0.7842  1 Bi 2.29, 1 Cu 2.36
F 0.4928 0.7500 0.0071  1 Cu 2.18, 1 Bi 2.31
F 0.4936 0.7500 0.5281  1 Cu 2.12, 1 Bi 2.30
F 0.5064 0.2500 0.4719  1 Cu 2.12, 1 Bi 2.30
F 0.5072 0.2500 0.9929  1 Cu 2.18, 1 Bi 2.31
F 0.7500 0.5048 0.2158  1 Bi 2.29, 1 Cu 2.36
F 0.7500 0.9952 0.2158  1 Bi 2.29, 1 Cu 2.36
F 0.9928 0.2500 0.9929  1 Cu 2.18, 1 Bi 2.31
F 0.9936 0.2500 0.4719  1 Cu 2.12, 1 Bi 2.30



Density functional theory data (PBE-GGA) for a relaxed YHo6Tm2Sc3 crystal.

Properties
ΔE_f in meV/atom: 45
Mass density in g/cm3: 7.3

Cell lengths 6.0041, 6.0041, 11.3993 Å; angles 95.03, 95.03, 119.95 degrees
Closest atoms and distances in Å follow each position.
Sites, in units of the cell vectors:
Y 0.0000 0.0000 0.0000  6 Tm 3.47, 6 Ho 3.53
Ho 0.0862 0.4204 0.2584  3 Sc 3.37, 6 Ho 3.46-3.48, 2 Tm 3.52, 1 Y 3.53
Ho 0.2478 0.2478 0.7415  3 Sc 3.37, 6 Ho 3.46-3.48, 2 Tm 3.52, 1 Y 3.53
Ho 0.4204 0.0862 0.2584  3 Sc 3.37, 6 Ho 3.46-3.48, 2 Tm 3.52, 1 Y 3.53
Ho 0.5796 0.9138 0.7416  3 Sc 3.37, 6 Ho 3.46-3.48, 2 Tm 3.52, 1 Y 3.53
Ho 0.7522 0.7522 0.2585  3 Sc 3.37, 6 Ho 3.46-3.48, 2 Tm 3.52, 1 Y 3.53
Ho 0.9138 0.5796 0.7416  3 Sc 3.37, 6 Ho 3.46-3.48, 2 Tm 3.52, 1 Y 3.53
Tm 0.3334 0.6666 0.0000  3 Tm 3.46-3.47, 3 Y 3.47, 6 Ho 3.52
Tm 0.6666 0.3334 0.0000  3 Tm 3.46-3.47, 3 Y 3.47, 6 Ho 3.52
Sc 0.1668 0.8332 0.5000  6 Ho 3.37, 6 Sc 3.46-3.47
Sc 0.5000 0.5000 0.5000  6 Ho 3.37, 6 Sc 3.46-3.47
Sc 0.8332 0.1668 0.5000  6 Ho 3.37, 6 Sc 3.46-3.47



Density functional theory data (PBE-GGA) for a relaxed NaZr2NbN crystal.

Properties
Mass density in g/cm3: 4.0
Uncorrected formation energy in eV per atom: 2.079

Cell lengths 5.0100, 5.0100, 5.2188 Å; angles 90.00, 90.00, 90.00 degrees
Closest atoms and distances in Å follow each position.
Sites, in units of the cell vectors:
Na 0.0000 0.0000 0.0000  2 Nb 2.61
Zr 0.0000 0.5000 0.5000  2 Nb 2.50
Zr 0.5000 0.0000 0.5000  2 Nb 2.50
Nb 0.0000 0.0000 0.5000  4 Zr 2.50, 2 Na 2.61
N 0.5000 0.5000 0.0000  4 Na 3.54, 8 Zr 3.62



Density functional theory data (PBE-GGA) for a relaxed Ti3NiPd crystal.

Properties
ΔE_f in meV/atom: 851
Mass density in g/cm3: 4.9
Energy above the most stable polymorph in this dataset in eV/f.u.: 5.483

Cell lengths 4.7084, 4.7084, 4.7084 Å; angles 90.00, 90.00, 90.00 degrees
Closest atoms and distances in Å follow each position.
Sites, in units of the cell vectors:
Ti 0.0000 0.0000 0.5000  2 Pd 2.35
Ti 0.0000 0.5000 0.0000  2 Pd 2.35
Ti 0.5000 0.0000 0.0000  2 Pd 2.35
Ni 0.5000 0.5000 0.5000  12 Ti 3.33
Pd 0.0000 0.0000 0.0000  6 Ti 2.35